VASP calculation (PBE) on an optimized crystal structure of Mg2Mn2P.

a b c (Å): 7.331 7.331 7.331
angles (deg): 151.21 151.21 41.17
Site moments in Bohr magnetons follow the coordinates.
Element x y z (fractional)
P1 0.000 0.000 0.000  -0.09
Mn1 0.588 0.588 0.000  3.52
Mn2 0.412 0.412 0.000  3.52
Mg1 0.250 0.750 0.500  -0.02
Mg2 0.750 0.250 0.500  -0.02

## Properties
Formation energy: 2.94 eV/f.u.
Symmetry: I4/mmm, No. 139
D(E_F): 3.5 states/eV/cell
Raw total energy: -4.799 eV per atom



VASP calculation (PBE) on an optimized crystal structure of MgMnP3.

a b c (Å): 4.456 4.456 4.456
angles (deg): 90.00 90.00 90.00
Site moments in Bohr magnetons follow the coordinates.
Element x y z (fractional)
P1 0.000 0.500 0.000  -0.06
P2 0.500 0.000 0.000  -0.09
P3 0.000 0.000 0.500  -0.06
Mn1 0.000 0.000 0.000  1.43
Mg1 0.500 0.500 0.500  0.01

## Properties
Formation energy: 1.42 eV/f.u.
Symmetry: Pm-3m, No. 221
ΔE to the lowest computed polymorph: 0 meV/atom
D(E_F): 4.1 states/eV/cell
Raw total energy: -5.115 eV per atom



VASP calculation (PBE) on an optimized crystal structure of Mg3MnP.

a b c (Å): 4.893 4.893 4.893
angles (deg): 90.00 90.00 90.00
Site moments in Bohr magnetons follow the coordinates.
Element x y z (fractional)
Mg1 0.000 0.500 0.000  -0.02
Mg2 0.500 0.000 0.000  -0.01
Mg3 0.000 0.000 0.500  -0.02
Mn1 0.500 0.500 0.500  4.16
P1 0.000 0.000 0.000  0.01

## Properties
Formation energy: 1.42 eV/f.u.
Symmetry: Pm-3m, No. 221
ΔE to the lowest computed polymorph: 0 meV/atom
D(E_F): 1.5 states/eV/cell
Raw total energy: -3.589 eV per atom



- What is the raw total energy in the second record?
  -5.115 eV per atom